(1)
DFT (GGA-PBE) results for a geometry-optimized CaCu2Ru structure.

The energy above the lowest structure with this stoichiometry comes out at 0.70 eV per formula unit. As for the electronic total energy: -4.4554 eV/atom. The spin magnetization comes out at 0.00 Bohr magnetons per cell.

The space group is F-43m (No. 216) and the conventional cell measures 6.3410, 6.3410 and 6.3410 Å, with angles of 90.00, 90.00 and 90.00 degrees. The asymmetric unit holds Ca at (0.0000, 0.0000, 0.0000), Cu at (0.0000, 0.0000, 0.5000), Cu at (0.2500, 0.2500, 0.7500) and Ru at (0.2500, 0.2500, 0.2500).

(2)
DFT (GGA-PBE) results for a geometry-optimized CaCu2Ru structure.

The energy above the lowest structure with this stoichiometry comes out at 0.22 eV per formula unit. As for the electronic total energy: -4.5758 eV/atom. The spin magnetization comes out at 0.79 Bohr magnetons per cell.

The space group is Cm (No. 8) and the conventional cell measures 9.7177, 2.9604 and 4.7511 Å, with angles of 90.00, 110.36 and 90.00 degrees. The asymmetric unit holds Ca at (0.0000, 0.0000, 0.0000), Cu at (0.0181, 0.5000, 0.4989), Cu at (0.2333, 0.0000, 0.7881) and Ru at (0.2772, 0.5000, 0.3590).

Question: electronic total energy of number 2 (CaCu2Ru)?
Answer: -4.5758 eV/atom

Question: The highest electronic total energy belongs to which entry?
Answer: number 1

Question: Look up the energy above the lowest structure with this stoichiometry of the second one.
Answer: 0.22 eV per formula unit